The following is a DFT calculation (GGA+U) of a geometry-optimized Cr2In2F structure.

Values from the calculation:
crystal system	tetragonal
energy	-46.2	eV/cell
M_tot	9.217	μB per formula unit
density of states at the Fermi level	2.2	states/eV/f.u.

Cell and atoms, written as CIF:
```
data_Cr2In2F
_symmetry_space_group_name_H-M 'P 4/m b m'
_symmetry_Int_Tables_number 127
_symmetry_space_group_name_Hall '-P 4 2ab'
_cell_length_a 6.802
_cell_length_b 6.802
_cell_length_c 4.592
_cell_angle_alpha 90.00
_cell_angle_beta 90.00
_cell_angle_gamma 90.00
loop_
_atom_site_label
_atom_site_fract_x
_atom_site_fract_y
_atom_site_fract_z
Cr1 0.151 0.349 0.000
In1 0.162 0.662 0.500
F1 0.000 0.000 0.500
```